*w*
Crystalline CdAgTeO at its relaxed geometry, computed with PBE.

Summary:
The space group is P4/nmm. For the volume, the calculation gives 22.29 Å³ per atom.

Geometry as POSCAR:
```
CdAgTeO
1.0
4.0766 0.0000 0.0000
0.0000 4.0766 0.0000
0.0000 0.0000 10.7280
Cd Ag Te O
2 2 2 2
Direct
0.2500 0.2500 0.0800
0.7500 0.7500 0.9200
0.2500 0.2500 0.6321
0.7500 0.7500 0.3679
0.2500 0.2500 0.3464
0.7500 0.7500 0.6536
0.2500 0.7500 0.0000
0.7500 0.2500 0.0000
```



*x*
Crystalline CdAgTeO at its relaxed geometry, computed with PBE.

Summary:
The space group is Pbca. For the volume, the calculation gives 22.30 Å³ per atom.

Geometry as POSCAR:
```
CdAgTeO
1.0
5.9596 0.0000 0.0000
0.0000 8.4714 0.0000
0.0000 0.0000 14.1371
Cd Ag Te O
8 8 8 8
Direct
0.2084 0.2466 0.1560
0.2084 0.2534 0.6560
0.2916 0.7466 0.1560
0.2916 0.7534 0.6560
0.7084 0.2466 0.3440
0.7084 0.2534 0.8440
0.7916 0.7466 0.3440
0.7916 0.7534 0.8440
0.2495 0.0053 0.8162
0.2495 0.4947 0.3162
0.2505 0.5053 0.8162
0.2505 0.9947 0.3162
0.7495 0.0053 0.6838
0.7495 0.4947 0.1838
0.7505 0.5053 0.6838
0.7505 0.9947 0.1838
0.2493 0.0024 0.5214
0.2493 0.4976 0.0214
0.2507 0.5024 0.5214
0.2507 0.9976 0.0214
0.7493 0.0024 0.9786
0.7493 0.4976 0.4786
0.7507 0.5024 0.9786
0.7507 0.9976 0.4786
0.1502 0.7448 0.2986
0.1502 0.7552 0.7986
0.3498 0.2448 0.2986
0.3498 0.2552 0.7986
0.6502 0.7448 0.2014
0.6502 0.7552 0.7014
0.8498 0.2448 0.2014
0.8498 0.2552 0.7014
```



It is *w* that is the most stable of them.



*w*
Crystalline CdAgTeO at its relaxed geometry, computed with PBE.

Summary:
The space group is Cmcm. For the volume, the calculation gives 19.23 Å³ per atom.

Geometry as POSCAR:
```
CdAgTeO
1.0
3.3495 0.0000 0.0000
0.0000 15.3561 0.0000
0.0000 0.0000 5.9832
Cd Ag Te O
4 4 4 4
Direct
0.0000 0.0463 0.2500
0.0000 0.9537 0.7500
0.5000 0.4537 0.7500
0.5000 0.5463 0.2500
0.0000 0.3711 0.2500
0.0000 0.6289 0.7500
0.5000 0.1289 0.7500
0.5000 0.8711 0.2500
0.0000 0.2797 0.7500
0.0000 0.7203 0.2500
0.5000 0.2203 0.2500
0.5000 0.7797 0.7500
0.0000 0.5000 0.0000
0.0000 0.5000 0.5000
0.5000 0.0000 0.0000
0.5000 0.0000 0.5000
```



*x*
Crystalline CdAgTeO at its relaxed geometry, computed with PBE.

Summary:
The space group is Cmcm. For the volume, the calculation gives 19.70 Å³ per atom.

Geometry as POSCAR:
```
CdAgTeO
1.0
3.5536 0.0000 0.0000
0.0000 14.4537 0.0000
0.0000 0.0000 6.1381
Cd Ag Te O
4 4 4 4
Direct
0.0000 0.1079 0.2500
0.0000 0.8921 0.7500
0.5000 0.3921 0.7500
0.5000 0.6079 0.2500
0.0000 0.4297 0.2500
0.0000 0.5703 0.7500
0.5000 0.0703 0.7500
0.5000 0.9297 0.2500
0.0000 0.2279 0.7500
0.0000 0.7721 0.2500
0.5000 0.2721 0.2500
0.5000 0.7279 0.7500
0.0000 0.0000 0.0000
0.0000 0.0000 0.5000
0.5000 0.5000 0.0000
0.5000 0.5000 0.5000
```



It is *w* that is the most stable of them.



*w*
Crystalline CdAgTeO at its relaxed geometry, computed with PBE.

Summary:
The space group is P6_3mc. For the volume, the calculation gives 21.21 Å³ per atom.

Geometry as POSCAR:
```
CdAgTeO
1.0
3.8532 0.0000 0.0000
-1.9266 3.3370 0.0000
0.0000 0.0000 13.1980
Cd Ag Te O
2 2 2 2
Direct
0.0000 0.0000 0.0000
0.0000 0.0000 0.5000
0.3333 0.6667 0.2855
0.6667 0.3333 0.7855
0.3333 0.6667 0.6449
0.6667 0.3333 0.1449
0.0000 0.0000 0.3432
0.0000 0.0000 0.8432
```



*x*
Crystalline CdAgTeO at its relaxed geometry, computed with PBE.

Summary:
The space group is Pnma. For the volume, the calculation gives 20.77 Å³ per atom.

Geometry as POSCAR:
```
CdAgTeO
1.0
6.5513 0.0000 0.0000
0.0000 3.5552 0.0000
0.0000 0.0000 14.2692
Cd Ag Te O
4 4 4 4
Direct
0.2477 0.2500 0.0622
0.2523 0.7500 0.5622
0.7477 0.2500 0.4378
0.7523 0.7500 0.9378
0.0211 0.2500 0.7513
0.4789 0.7500 0.2513
0.5211 0.2500 0.7487
0.9789 0.7500 0.2487
0.2366 0.2500 0.3936
0.2634 0.7500 0.8936
0.7366 0.2500 0.1064
0.7634 0.7500 0.6064
0.2311 0.7500 0.1524
0.2689 0.2500 0.6524
0.7311 0.7500 0.3476
0.7689 0.2500 0.8476
```



*y*
Crystalline CdAgTeO at its relaxed geometry, computed with PBE.

Summary:
The space group is P4/nmm. For the volume, the calculation gives 20.20 Å³ per atom.

Geometry as POSCAR:
```
CdAgTeO
1.0
3.5913 0.0000 0.0000
0.0000 3.5913 0.0000
0.0000 0.0000 12.5276
Cd Ag Te O
2 2 2 2
Direct
0.2500 0.2500 0.0905
0.7500 0.7500 0.9095
0.2500 0.7500 0.5000
0.7500 0.2500 0.5000
0.2500 0.2500 0.6898
0.7500 0.7500 0.3102
0.2500 0.2500 0.9113
0.7500 0.7500 0.0887
```



*z*
Crystalline CdAgTeO at its relaxed geometry, computed with PBE.

Summary:
The space group is Pca2_1. For the volume, the calculation gives 21.60 Å³ per atom.

Geometry as POSCAR:
```
CdAgTeO
1.0
7.0341 0.0000 0.0000
0.0000 8.6671 0.0000
0.0000 0.0000 5.6686
Cd Ag Te O
4 4 4 4
Direct
0.1068 0.1083 0.0000
0.3932 0.1083 0.5000
0.6068 0.8917 0.0000
0.8932 0.8917 0.5000
0.1185 0.7408 0.0422
0.3815 0.7408 0.5422
0.6185 0.2592 0.0422
0.8815 0.2592 0.5422
0.0490 0.5882 0.5813
0.4510 0.5882 0.0813
0.5490 0.4118 0.5813
0.9510 0.4118 0.0813
0.0942 0.0773 0.6068
0.4058 0.0773 0.1068
0.5942 0.9227 0.6068
0.9058 0.9227 0.1068
```



It is *z* that is the most stable of them.